(1)
This record from the Alexandria database describes crystalline BaNaSr2In at its relaxed geometry. The functional is PBE-GGA.

Calculated formation energy, eV per atom: -0.028
Symmetry: No. 123

Unit cell a=6.531 b=6.531 c=6.719 alpha=90.00 beta=90.00 gamma=90.00
Fractional positions:
Ba (0.000, 0.000, 0.500)
Sr (0.000, 0.500, 0.000)
Sr (0.500, 0.000, 0.000)
Na (0.500, 0.500, 0.500)
In (0.000, 0.000, 0.000)

=====

(2)
This record from the Alexandria database describes crystalline V2PbI at its relaxed geometry. The functional is PBE-GGA.

Energy above the most stable polymorph in this dataset, meV/atom: 78
Uncorrected formation energy, eV/f.u.: 3.454
Symmetry: No. 122

Unit cell a=7.599 b=7.599 c=6.368 alpha=53.37 beta=53.37 gamma=90.00
Fractional positions:
V (0.605, 0.125, 0.250)
Pb (0.000, 0.000, 0.000)
V (0.875, 0.855, 0.750)
V (0.145, 0.625, 0.250)
I (0.250, 0.750, 0.500)
I (0.500, 0.500, 0.000)
V (0.375, 0.395, 0.750)
Pb (0.750, 0.250, 0.500)

=====

(3)
This record from the Alexandria database describes crystalline BaSbW2 at its relaxed geometry. The functional is PBE-GGA.

Uncorrected formation energy, eV/f.u.: 5.107
Symmetry: No. 166

Unit cell a=10.322 b=10.322 c=10.322 alpha=17.79 beta=17.79 gamma=17.79
Fractional positions:
Ba (0.250, 0.250, 0.250)
W (0.485, 0.485, 0.485)
Sb (0.750, 0.750, 0.750)
W (0.015, 0.015, 0.015)

=====

(4)
This record from the Alexandria database describes crystalline BeRh3F at its relaxed geometry. The functional is PBE-GGA.

Uncorrected formation energy, eV/f.u.: 2.737
Symmetry: No. 221

Unit cell a=4.169 b=4.169 c=4.169 alpha=90.00 beta=90.00 gamma=90.00
Fractional positions:
Be (0.000, 0.000, 0.000)
Rh (0.500, 0.000, 0.000)
Rh (0.000, 0.500, 0.000)
F (0.500, 0.500, 0.500)
Rh (0.000, 0.000, 0.500)

=====

(5)
This record from the Alexandria database describes crystalline CaPrPb6 at its relaxed geometry. The functional is PBE-GGA.

Calculated formation energy, eV per atom: -0.356
Symmetry: No. 123

Unit cell a=4.903 b=4.903 c=10.039 alpha=90.00 beta=90.00 gamma=90.00
Fractional positions:
Pb (0.000, 0.500, 0.247)
Pb (0.500, 0.000, 0.753)
Pb (0.500, 0.500, 0.500)
Pb (0.000, 0.500, 0.753)
Pr (0.000, 0.000, 0.500)
Ca (0.000, 0.000, 0.000)
Pb (0.500, 0.500, 0.000)
Pb (0.500, 0.000, 0.247)

=====

(6)
This record from the Alexandria database describes crystalline Pu2ZnSb4 at its relaxed geometry. The functional is PBE-GGA.

Uncorrected formation energy, eV/f.u.: -3.114
Symmetry: No. 115

Unit cell a=4.386 b=4.386 c=9.528 alpha=90.00 beta=90.00 gamma=90.00
Fractional positions:
Pu (0.000, 0.500, 0.244)
Sb (0.000, 0.500, 0.835)
Zn (0.500, 0.500, 0.000)
Sb (0.500, 0.000, 0.165)
Sb (0.000, 0.000, 0.500)
Sb (0.500, 0.500, 0.500)
Pu (0.500, 0.000, 0.756)

=====

(7)
This record from the Alexandria database describes crystalline TbZrCuHg at its relaxed geometry. The functional is PBE-GGA.

Calculated formation energy, eV per atom: -0.134
Symmetry: No. 216

Unit cell a=4.984 b=4.984 c=4.984 alpha=60.00 beta=60.00 gamma=60.00
Fractional positions:
Zr (0.000, 0.000, 0.000)
Cu (0.750, 0.750, 0.750)
Hg (0.250, 0.250, 0.250)
Tb (0.500, 0.500, 0.500)

=====

(8)
This record from the Alexandria database describes crystalline ZnCo2Rh2 at its relaxed geometry. The functional is PBE-GGA.

Calculated formation energy, eV per atom: 0.156
Energy above the most stable polymorph in this dataset, meV/atom: 40
Symmetry: No. 127

Unit cell a=7.177 b=7.177 c=2.700 alpha=90.00 beta=90.00 gamma=90.00
Fractional positions:
Co (0.836, 0.336, 0.500)
Rh (0.133, 0.367, 0.000)
Rh (0.867, 0.633, 0.000)
Co (0.336, 0.164, 0.500)
Rh (0.367, 0.867, 0.000)
Zn (0.000, 0.000, 0.000)
Rh (0.633, 0.133, 0.000)
Zn (0.500, 0.500, 0.000)
Co (0.664, 0.836, 0.500)
Co (0.164, 0.664, 0.500)